Material: Si2TcIr
Method: DFT, GGA-PBEsol
State: optimized geometry

## Properties
Fermi-level density of states ... 0.613 states/eV/atom
Total moment ... 0.0 μB/f.u.
Crystal system ... tetragonal
Electronic total energy ... -8.263 eV/atom
Space group ... P4mm
Formation energy from raw total energies ... -0.117 eV/atom

a = 2.706 Å, b = 2.706 Å, c = 7.463 Å
α = 90.00°, β = 90.00°, γ = 90.00°
Sites, in units of the cell vectors:
Tc  0.000  0.000  0.501
Si  0.000  0.000  0.987
Si  0.500  0.500  0.260
Ir  0.500  0.500  0.751